# 1
Density functional theory data (GGA-PBE) for an optimized crystal structure of MnHgRh3.

Calculated values
For the relative energy among the computed polymorphs, the calculation gives 433.9 kJ/mol of formula units. As for the formation energy: 1.722 eV per atom. The calculation puts the calculated total energy at -22.9 eV/cell. Its total magnetization is 6.022 μB/cell. The calculation puts the density of states at the Fermi level at 1.59 states/eV/atom.

The structure in POSCAR format:
```
MnHgRh3
1.0
-2.521 -2.233 -3.582
-0.202 -4.103 2.701
-4.216 1.532 2.012
Mn Rh Hg
1 3 1
direct
0.500 0.500 0.500 Mn
0.000 0.500 0.000 Rh
0.000 0.000 0.500 Rh
0.500 0.000 0.000 Rh
0.000 0.000 0.000 Hg
```

# 2
Density functional theory data (GGA-PBE) for an optimized crystal structure of NaPuAgS3.

Calculated values
For the energy relative to the elements, uncorrected, the calculation gives -1050 meV per atom. The calculation puts the calculated total energy at -74.4 eV/cell. Its total magnetization is 8.000 μB/cell. The calculation puts the density of states at the Fermi level at 1.32 states/eV/atom.

The structure in POSCAR format:
```
NaPuAgS3
1.0
-1.742 0.486 -3.626
2.433 -9.433 -2.434
-6.528 -0.782 3.031
Na Pu Ag S
2 2 2 6
direct
0.250 0.332 0.365 Na
0.750 0.668 0.635 Na
0.250 0.672 0.131 Pu
0.750 0.328 0.869 Pu
0.250 0.061 0.647 Ag
0.750 0.939 0.353 Ag
0.750 0.808 0.019 S
0.250 0.192 0.981 S
0.250 0.810 0.485 S
0.750 0.190 0.515 S
0.750 0.507 0.216 S
0.250 0.493 0.784 S
```